Computed, not measured: an optimized crystal structure of TmSnTe2AuSe at the PBE-GGA level of DFT.

Summary:
Magnetic moment ... 0.0 μB/f.u.
Calculated total energy ... -4.279 eV per atom
Volume ... 648.4 Å³ per cell

Cell and atoms, written as CIF:
```
data_TmSnTe2AuSe
_cell_length_a 4.231
_cell_length_b 14.720
_cell_length_c 10.412
_cell_angle_alpha 90.00
_cell_angle_beta 90.00
_cell_angle_gamma 90.00
_symmetry_space_group_name_H-M 'C m c m'
_symmetry_Int_Tables_number 63
_symmetry_space_group_name_Hall '-C 2c 2'
loop_
_atom_site_label
_atom_site_fract_x
_atom_site_fract_y
_atom_site_fract_z
Tm1 0.000 0.000 0.000
Sn1 0.000 0.251 0.250
Te1 0.000 0.349 0.552
Au1 0.000 0.475 0.750
Se1 0.000 0.087 0.750
```

---

Computed, not measured: an optimized crystal structure of Zr4SbAsP2 at the PBE-GGA level of DFT.

Summary:
Magnetic moment ... 0.0 μB/f.u.
Calculated total energy ... -7.951 eV per atom
Volume ... 163.7 Å³ per cell

Cell and atoms, written as CIF:
```
data_Zr4SbAsP2
_cell_length_a 3.7956
_cell_length_b 3.7956
_cell_length_c 13.1215
_cell_angle_alpha 90.00
_cell_angle_beta 90.00
_cell_angle_gamma 120.00
_symmetry_space_group_name_H-M 'P -6 m 2'
_symmetry_Int_Tables_number 187
_symmetry_space_group_name_Hall 'P -6 2'
loop_
_atom_site_label
_atom_site_fract_x
_atom_site_fract_y
_atom_site_fract_z
Zr1 0.0000 0.0000 0.1341
Zr2 0.6667 0.3333 0.3477
Sb1 0.0000 0.0000 0.5000
As1 0.6667 0.3333 0.0000
P1 0.3333 0.6667 0.2417
```

---

Computed, not measured: an optimized crystal structure of BaZnSO at the PBE-GGA level of DFT.

Summary:
Calculated total energy ... -4.161 eV per atom
Volume ... 189.5 Å³ per cell

Cell and atoms, written as CIF:
```
data_BaZnSO
_cell_length_a 4.109
_cell_length_b 4.109
_cell_length_c 11.224
_cell_angle_alpha 90.00
_cell_angle_beta 90.00
_cell_angle_gamma 90.00
_symmetry_space_group_name_H-M 'P 4/n m m'
_symmetry_Int_Tables_number 129
loop_
_symmetry_equiv_pos_as_xyz
'x,y,z'
'-x,-y,-z'
'-y+1/2,x,z'
'y+1/2,-x,-z'
'-x+1/2,-y+1/2,z'
'x+1/2,y+1/2,-z'
'y,-x+1/2,z'
'-y,x+1/2,-z'
'x+1/2,-y,-z'
'-x+1/2,y,z'
'-y,-x,-z'
'y,x,z'
'-x,y+1/2,-z'
'x,-y+1/2,z'
'y+1/2,x+1/2,-z'
'-y+1/2,-x+1/2,z'
loop_
_atom_site_label
_atom_site_fract_x
_atom_site_fract_y
_atom_site_fract_z
Ba1 0.250 0.250 0.119
Zn1 0.250 0.250 0.593
S1 0.250 0.250 0.391
O1 0.250 0.750 0.000
```

---

Computed, not measured: an optimized crystal structure of Dy4CI3Br2 at the PBE-GGA level of DFT.

Summary:
Relative energy among the computed polymorphs ... 0.009 eV per atom
Magnetic moment ... 0.4 μB/f.u.
Calculated total energy ... -4.786 eV per atom
Volume ... 608.3 Å³ per cell

Cell and atoms, written as CIF:
```
data_Dy4CI3Br2
_cell_length_a 18.622
_cell_length_b 3.915
_cell_length_c 8.550
_cell_angle_alpha 90.00
_cell_angle_beta 102.60
_cell_angle_gamma 90.00
_symmetry_space_group_name_H-M 'C 1 2/m 1'
_symmetry_Int_Tables_number 12
_symmetry_space_group_name_Hall '-C 2y'
loop_
_atom_site_label
_atom_site_fract_x
_atom_site_fract_y
_atom_site_fract_z
Dy1 0.000 0.000 0.190
Dy2 0.131 0.500 0.060
C1 0.000 0.500 0.000
I1 0.000 0.500 0.500
I2 0.168 0.000 0.338
Br1 0.163 0.000 0.836
```

---

Computed, not measured: an optimized crystal structure of SmGdAlIr2 at the PBE-GGA level of DFT.

Summary:
Magnetic moment ... 0.0 μB/f.u.
Calculated total energy ... -7.036 eV per atom
Volume ... 210.5 Å³ per cell

Cell and atoms, written as CIF:
```
data_SmGdAlIr2
_cell_length_a 4.134
_cell_length_b 5.873
_cell_length_c 8.669
_cell_angle_alpha 90.00
_cell_angle_beta 90.00
_cell_angle_gamma 90.00
_symmetry_space_group_name_H-M 'I m m 2'
_symmetry_Int_Tables_number 44
_symmetry_space_group_name_Hall 'I 2 -2'
loop_
_atom_site_label
_atom_site_fract_x
_atom_site_fract_y
_atom_site_fract_z
Sm1 0.000 0.000 0.000
Gd1 0.000 0.000 0.397
Al1 0.000 0.500 0.198
Ir1 0.000 0.258 0.698
```

---

Computed, not measured: an optimized crystal structure of LuTlZnCu at the PBE-GGA level of DFT.

Summary:
Relative energy among the computed polymorphs ... 0.000 eV per atom
Magnetic moment ... 0.0 μB/f.u.
Calculated total energy ... -3.083 eV per atom
Volume ... 305.8 Å³ per cell

Cell and atoms, written as CIF:
```
data_LuTlZnCu
_cell_length_a 6.737
_cell_length_b 6.737
_cell_length_c 6.737
_cell_angle_alpha 90.00
_cell_angle_beta 90.00
_cell_angle_gamma 90.00
_symmetry_space_group_name_H-M 'F -4 3 m'
_symmetry_Int_Tables_number 216
_symmetry_space_group_name_Hall 'F -4 2 3'
loop_
_atom_site_label
_atom_site_fract_x
_atom_site_fract_y
_atom_site_fract_z
Lu1 0.000 0.000 0.000
Tl1 0.000 0.000 0.500
Zn1 0.250 0.250 0.250
Cu1 0.250 0.250 0.750
```